# CeSmSbTe (PBE-GGA, relaxed)
data_CeSmSbTe
_space_group_name_H-M_alt 'R 3 m'
_space_group_IT_number 160
_space_group_name_Hall 'R 3 -2"'
_cell_length_a 4.4772
_cell_length_b 4.4772
_cell_length_c 22.0690
_cell_angle_alpha 90.00
_cell_angle_beta 90.00
_cell_angle_gamma 120.00
loop_
_atom_site_label
_atom_site_type_symbol
_atom_site_fract_x
_atom_site_fract_y
_atom_site_fract_z
Ce1 Ce 0.0000 0.0000 0.0000
Sm1 Sm 0.0000 0.0000 0.5048
Sb1 Sb 0.0000 0.0000 0.2513
Te1 Te 0.0000 0.0000 0.7534
# Density of states at the Fermi level (states/eV/f.u.): 7.921
# ΔE_f (raw) (eV per atom): -1.28